1.
VASP calculation (GGA-PBEsol) on a geometry-optimized RbTl3Rh structure.

Its total energy is -3.456 eV/atom. The space-group type is No. 221. For the density of states at the Fermi level, the calculation gives 2.7 states/eV/cell. Its energy relative to the elements is -0.045 eV/atom.

Unit cell a=5.276 b=5.276 c=5.276 alpha=90.00 beta=90.00 gamma=90.00
Sites, in units of the cell vectors:
Rh (0.000, 0.000, 0.000)
Tl (0.500, 0.000, 0.000)
Tl (0.000, 0.500, 0.000)
Tl (0.000, 0.000, 0.500)
Rb (0.500, 0.500, 0.500)

---

2.
VASP calculation (GGA-PBEsol) on a geometry-optimized YGaGe3 structure.

Its total energy is -4.276 eV/atom. The space-group type is No. 221. For the density of states at the Fermi level, the calculation gives 1.8 states/eV/cell. Its energy relative to the elements is 0.720 eV/atom.

Unit cell a=5.295 b=5.295 c=5.295 alpha=90.00 beta=90.00 gamma=90.00
Sites, in units of the cell vectors:
Ga (0.500, 0.500, 0.500)
Y (0.000, 0.000, 0.000)
Ge (0.000, 0.000, 0.500)
Ge (0.000, 0.500, 0.000)
Ge (0.500, 0.000, 0.000)

---

3.
VASP calculation (GGA-PBEsol) on a geometry-optimized MgTi2O4 structure.

Its total energy is -8.431 eV/atom. The space-group type is No. 8. For the density of states at the Fermi level, the calculation gives 15.5 states/eV/cell. For the energy above the lowest structure with this stoichiometry, the calculation gives 59 meV per atom.

Unit cell a=5.857 b=6.016 c=14.594 alpha=90.77 beta=90.00 gamma=119.13
Last column: magnetic moment on the atom in μB.
Sites, in units of the cell vectors:
Mg (0.837, 0.673, 0.668)  0.00
Mg (0.674, 0.349, 0.835)  0.00
Mg (0.160, 0.319, 0.330)  0.00
Mg (0.323, 0.647, 0.167)  0.00
Mg (0.166, 0.332, 0.963)  0.00
Mg (0.996, 0.993, 0.499)  0.00
O (0.993, 0.478, 0.248)  0.00
O (0.158, 0.315, 0.096)  0.00
O (0.996, 0.992, 0.247)  0.00
O (0.330, 0.178, 0.420)  -0.01
O (0.339, 0.678, 0.919)  0.00
O (0.830, 0.660, 0.419)  0.00
O (0.152, 0.823, 0.580)  0.00
O (0.848, 0.178, 0.420)  -0.01
O (0.517, 0.523, 0.754)  0.00
O (0.841, 0.682, 0.908)  0.00
O (0.494, 0.989, 0.246)  0.00
O (0.812, 0.157, 0.914)  0.00
O (0.332, 0.664, 0.413)  -0.01
O (0.006, 0.523, 0.754)  0.00
O (0.998, 0.997, 0.754)  0.00
O (0.674, 0.347, 0.079)  0.00
O (0.486, 0.478, 0.248)  0.00
O (0.671, 0.823, 0.580)  0.00
O (0.674, 0.349, 0.581)  0.00
O (0.176, 0.830, 0.085)  0.00
O (0.345, 0.157, 0.914)  0.00
O (0.162, 0.325, 0.587)  0.00
O (0.507, 0.014, 0.749)  0.00
O (0.654, 0.830, 0.085)  0.00
Ti (0.477, 0.499, 0.501)  0.41
Ti (0.503, 0.006, 0.619)  0.10
Ti (0.022, 0.499, 0.501)  0.41
Ti (0.199, 0.850, 0.838)  0.10
Ti (0.651, 0.850, 0.838)  0.10
Ti (0.504, 0.007, 0.004)  0.01
Ti (0.347, 0.154, 0.160)  -0.11
Ti (0.502, 0.005, 0.376)  0.21
Ti (0.807, 0.154, 0.160)  -0.11
Ti (0.168, 0.336, 0.716)  0.05
Ti (0.838, 0.677, 0.036)  0.01
Ti (0.829, 0.658, 0.290)  -0.02

---

4.
VASP calculation (GGA-PBEsol) on a geometry-optimized Mo3P structure.

Its total energy is -10.574 eV/atom. The space-group type is No. 62. For the density of states at the Fermi level, the calculation gives 12.2 states/eV/cell. Its energy relative to the elements is -0.301 eV/atom. For the energy above the lowest structure with this stoichiometry, the calculation gives 107 meV per atom.

Unit cell a=5.081 b=5.958 c=7.630 alpha=90.00 beta=90.00 gamma=90.00
Sites, in units of the cell vectors:
Mo (0.141, 0.311, 0.051)
Mo (0.859, 0.689, 0.551)
Mo (0.855, 0.975, 0.250)
Mo (0.645, 0.475, 0.250)
Mo (0.145, 0.025, 0.750)
Mo (0.641, 0.189, 0.551)
Mo (0.141, 0.311, 0.449)
Mo (0.359, 0.811, 0.051)
Mo (0.359, 0.811, 0.449)
Mo (0.355, 0.525, 0.750)
Mo (0.641, 0.189, 0.949)
Mo (0.859, 0.689, 0.949)
P (0.585, 0.886, 0.750)
P (0.415, 0.114, 0.250)
P (0.915, 0.386, 0.750)
P (0.085, 0.614, 0.250)

---

5.
VASP calculation (GGA-PBEsol) on a geometry-optimized Li2U3P2O15 structure.

Its total energy is -8.655 eV/atom. The space-group type is No. 141. For the density of states at the Fermi level, the calculation gives 0.0 states/eV/cell.

Unit cell a=7.127 b=7.127 c=13.504 alpha=105.30 beta=105.30 gamma=90.00
Sites, in units of the cell vectors:
Li (0.934, 0.434, 0.869)
Li (0.684, 0.684, 0.369)
Li (0.316, 0.316, 0.631)
Li (0.566, 0.066, 0.131)
O (0.822, 0.322, 0.643)
O (0.591, 0.923, 0.845)
O (0.913, 0.167, 0.826)
O (0.499, 0.172, 0.997)
O (0.417, 0.663, 0.326)
O (0.342, 0.087, 0.174)
O (0.751, 0.925, 0.503)
O (0.828, 0.501, 0.003)
O (0.250, 0.750, 0.500)
O (0.499, 0.825, 0.997)
O (0.175, 0.501, 0.003)
O (0.337, 0.583, 0.674)
O (0.337, 0.092, 0.674)
O (0.254, 0.923, 0.845)
O (0.428, 0.428, 0.857)
O (0.075, 0.249, 0.497)
O (0.422, 0.249, 0.497)
O (0.678, 0.178, 0.357)
O (0.913, 0.658, 0.826)
O (0.000, 0.000, 0.000)
O (0.077, 0.746, 0.155)
O (0.173, 0.341, 0.345)
O (0.833, 0.087, 0.174)
O (0.077, 0.409, 0.155)
O (0.572, 0.572, 0.143)
O (0.996, 0.827, 0.655)
O (0.908, 0.663, 0.326)
O (0.751, 0.578, 0.503)
O (0.173, 0.004, 0.345)
O (0.659, 0.827, 0.655)
U (0.334, 0.834, 0.668)
U (0.084, 0.084, 0.168)
U (0.166, 0.666, 0.332)
U (0.750, 0.250, 0.500)
U (0.500, 0.500, 0.000)
U (0.916, 0.916, 0.832)
P (0.788, 0.788, 0.577)
P (0.212, 0.212, 0.423)
P (0.462, 0.962, 0.923)
P (0.038, 0.538, 0.077)

---

6.
VASP calculation (GGA-PBEsol) on a geometry-optimized TaCr2Ru structure.

Its total energy is -10.647 eV/atom. The space-group type is No. 35. For the density of states at the Fermi level, the calculation gives 4.5 states/eV/cell. Its energy relative to the elements is 0.155 eV/atom. For the energy above the lowest structure with this stoichiometry, the calculation gives 128 meV per atom.

Unit cell a=2.664 b=2.664 c=8.162 alpha=90.00 beta=90.00 gamma=111.68
Sites, in units of the cell vectors:
Cr (0.000, 0.000, 0.978)
Cr (0.500, 0.500, 0.763)
Ru (0.000, 0.000, 0.517)
Ta (0.500, 0.500, 0.242)